The following is a DFT calculation (PBE) of an optimized crystal structure of Zr4TlS8.

Spin magnetization (μB per cell): 0.000
Crystal system: trigonal
Fermi-level density of states (states/eV per atom): 0.30
Formation energy without anion corrections (eV/f.u.): -18.83

abc: 8.9405 8.9405 8.9405
angles: 48.37 48.37 48.37
Closest atoms and distances in Å follow each position.
Atoms (fractional coordinates):
Zr: 0.0000 0.0000 0.0000  6 S 2.59
Zr: 0.0000 0.5000 0.5000  6 S 2.58-2.60
Zr: 0.5000 0.0000 0.5000  6 S 2.58-2.60
Zr: 0.5000 0.5000 0.0000  6 S 2.58-2.60
Tl: 0.5000 0.5000 0.5000  6 S 3.23
S: 0.2298 0.2298 0.7312  3 Zr 2.59-2.60
S: 0.2298 0.7312 0.2298  3 Zr 2.59-2.60
S: 0.2688 0.7702 0.7702  3 Zr 2.59-2.60
S: 0.2707 0.2707 0.2707  3 Zr 2.58
S: 0.7293 0.7293 0.7293  3 Zr 2.58
S: 0.7312 0.2298 0.2298  3 Zr 2.59-2.60
S: 0.7702 0.2688 0.7702  3 Zr 2.59-2.60
S: 0.7702 0.7702 0.2688  3 Zr 2.59-2.60

***

The following is a DFT calculation (PBE) of an optimized crystal structure of KInFe2Br6.

Spin magnetization (μB per cell): 16.000
Crystal system: monoclinic
Fermi-level density of states (states/eV per atom): 1.11
Formation energy without anion corrections (eV/f.u.): -7.13

abc: 9.9140 9.9140 7.6162
angles: 100.19 100.19 85.40
Closest atoms and distances in Å follow each position.
Atoms (fractional coordinates):
K: 0.1788 0.8212 0.7500  6 Br 3.29-3.62
K: 0.8212 0.1788 0.2500  6 Br 3.29-3.62
In: 0.4025 0.5975 0.2500  6 Br 3.19-3.32
In: 0.5975 0.4025 0.7500  6 Br 3.19-3.32
Fe: 0.1206 0.2945 0.7527  4 Br 2.40-2.50
Fe: 0.2945 0.1206 0.2527  4 Br 2.40-2.50
Fe: 0.7055 0.8794 0.7473  4 Br 2.40-2.50
Fe: 0.8794 0.7055 0.2473  4 Br 2.40-2.50
Br: 0.1030 0.1802 0.0150  2 Fe 2.49-2.50
Br: 0.1046 0.6170 0.3597  1 Fe 2.40
Br: 0.1802 0.1030 0.5150  2 Fe 2.49-2.50
Br: 0.2790 0.4755 0.8298  1 Fe 2.40
Br: 0.3830 0.8954 0.1403  1 Fe 2.40
Br: 0.4755 0.2790 0.3298  1 Fe 2.40
Br: 0.5245 0.7210 0.6702  1 Fe 2.40
Br: 0.6170 0.1046 0.8597  1 Fe 2.40
Br: 0.7210 0.5245 0.1702  1 Fe 2.40
Br: 0.8198 0.8970 0.4850  2 Fe 2.49-2.50
Br: 0.8954 0.3830 0.6403  1 Fe 2.40
Br: 0.8970 0.8198 0.9850  2 Fe 2.49-2.50

***

The following is a DFT calculation (PBE) of an optimized crystal structure of Ac5Si5Ge2.

Spin magnetization (μB per cell): 0.000
Crystal system: monoclinic
Fermi-level density of states (states/eV per atom): 0.45
Formation energy without anion corrections (eV/f.u.): -6.26

abc: 8.1411 8.1411 11.8926
angles: 124.79 124.79 30.93
Closest atoms and distances in Å follow each position.
Atoms (fractional coordinates):
Ac: 0.0000 0.0000 0.0000  6 Si 3.34-3.39, 4 Ge 3.36
Ac: 0.3151 0.3151 0.4210  3 Ge 3.20-3.30, 7 Si 3.28-3.48, 1 Ac 3.55
Ac: 0.3706 0.3706 0.1718  5 Si 3.18-3.29, 1 Ge 3.35, 1 Ac 3.55
Ac: 0.6294 0.6294 0.8282  5 Si 3.18-3.29, 1 Ge 3.35, 1 Ac 3.55
Ac: 0.6849 0.6849 0.5790  3 Ge 3.20-3.30, 7 Si 3.28-3.48, 1 Ac 3.55
Si: 0.0000 0.0000 0.5000  2 Si 2.74
Si: 0.0575 0.0575 0.3231  2 Ge 2.61, 1 Si 2.74
Si: 0.3000 0.3000 0.8597  1 Ge 2.49
Si: 0.7000 0.7000 0.1403  1 Ge 2.49
Si: 0.9425 0.9425 0.6769  2 Ge 2.61, 1 Si 2.74
Ge: 0.3810 0.3810 0.7325  3 Si 2.49-2.61
Ge: 0.6190 0.6190 0.2675  3 Si 2.49-2.61

***

The following is a DFT calculation (PBE) of an optimized crystal structure of CaMg2Ti2.

Energy relative to the lowest polymorph listed for this composition (meV per atom): 0.0
Spin magnetization (μB per cell): 3.237
Crystal system: tetragonal
Fermi-level density of states (states/eV per atom): 1.14

abc: 8.4901 8.4901 3.1774
angles: 90.00 90.00 90.00
Closest atoms and distances in Å follow each position.
Atoms (fractional coordinates):
Ca: 0.0000 0.0000 0.0000  2 Ca 3.18, 8 Mg 3.48, 4 Ti 3.50
Ca: 0.5000 0.5000 0.0000  2 Ca 3.18, 8 Mg 3.48, 4 Ti 3.50
Mg: 0.1868 0.3132 0.5000  6 Ti 3.00, 2 Mg 3.18
Mg: 0.3132 0.8132 0.5000  6 Ti 3.00, 2 Mg 3.18
Mg: 0.6868 0.1868 0.5000  6 Ti 3.00, 2 Mg 3.18
Mg: 0.8132 0.6868 0.5000  6 Ti 3.00, 2 Mg 3.18
Ti: 0.1009 0.6009 0.0000  1 Ti 2.42
Ti: 0.3991 0.1009 0.0000  1 Ti 2.42
Ti: 0.6009 0.8991 0.0000  1 Ti 2.42
Ti: 0.8991 0.3991 0.0000  1 Ti 2.42